Entry 1:
# Ac6NbS12, relaxed, DFT GGA-PBE
# Space-group type: R-3 (148)
# Raw total energy (eV per atom): -6.25
# DOS at the Fermi energy (states/eV/cell): 14.484
# ΔE_f (raw) (eV per atom): -1.81
# Magnetic moment (μB/cell): 0.02
data_Ac6NbS12
_chemical_formula_sum 'Ac6 Nb1 S12'
_cell_length_a 8.314
_cell_length_b 8.314
_cell_length_c 8.314
_cell_angle_alpha 98.29
_cell_angle_beta 98.29
_cell_angle_gamma 98.29
_space_group_name_H-M_alt 'P 1'
_space_group_IT_number 1
_space_group_name_Hall 'P 1'
loop_
_atom_site_label
_atom_site_type_symbol
_atom_site_fract_x
_atom_site_fract_y
_atom_site_fract_z
Ac1 Ac 0.125 0.796 0.637
Ac2 Ac 0.204 0.363 0.875
Ac3 Ac 0.363 0.875 0.204
Ac4 Ac 0.637 0.125 0.796
Ac5 Ac 0.796 0.637 0.125
Ac6 Ac 0.875 0.204 0.363
Nb1 Nb 0.500 0.500 0.500
S1 S 0.055 0.914 0.321
S2 S 0.086 0.679 0.945
S3 S 0.201 0.439 0.524
S4 S 0.321 0.055 0.914
S5 S 0.439 0.524 0.201
S6 S 0.476 0.799 0.561
S7 S 0.524 0.201 0.439
S8 S 0.561 0.476 0.799
S9 S 0.679 0.945 0.086
S10 S 0.799 0.561 0.476
S11 S 0.914 0.321 0.055
S12 S 0.945 0.086 0.679

=====

Entry 2:
# ZrRuSe2, relaxed, DFT GGA-PBE
# Distance to the lowest polymorph of the same formula (meV per atom): 635.3
# Space-group type: R-3m (166)
# Raw total energy (eV per atom): -6.27
# DOS at the Fermi energy (states/eV/cell): 6.106
# ΔE_f (raw) (eV per atom): -0.07
# Magnetic moment (μB/cell): 0.00
data_ZrRuSe2
_chemical_formula_sum 'Zr1 Ru1 Se2'
_cell_length_a 8.846
_cell_length_b 8.846
_cell_length_c 8.846
_cell_angle_alpha 21.66
_cell_angle_beta 21.66
_cell_angle_gamma 21.66
_space_group_name_H-M_alt 'P 1'
_space_group_IT_number 1
_space_group_name_Hall 'P 1'
loop_
_atom_site_label
_atom_site_type_symbol
_atom_site_fract_x
_atom_site_fract_y
_atom_site_fract_z
Zr1 Zr 0.000 0.000 0.000
Ru1 Ru 0.500 0.500 0.500
Se1 Se 0.104 0.104 0.104
Se2 Se 0.896 0.896 0.896

=====

Entry 3:
# Pm4MgZn, relaxed, DFT GGA-PBE
# Distance to the lowest polymorph of the same formula (meV per atom): 0.0
# Space-group type: P4/mmm (123)
# Raw total energy (eV per atom): -3.77
# DOS at the Fermi energy (states/eV/cell): 7.888
# Magnetic moment (μB/cell): 0.00
data_Pm4MgZn
_chemical_formula_sum 'Pm4 Mg1 Zn1'
_cell_length_a 3.696
_cell_length_b 3.696
_cell_length_c 12.926
_cell_angle_alpha 90.00
_cell_angle_beta 90.00
_cell_angle_gamma 90.00
_space_group_name_H-M_alt 'P 1'
_space_group_IT_number 1
_space_group_name_Hall 'P 1'
loop_
_atom_site_label
_atom_site_type_symbol
_atom_site_fract_x
_atom_site_fract_y
_atom_site_fract_z
Pm1 Pm 0.000 0.000 0.140
Pm2 Pm 0.000 0.000 0.860
Pm3 Pm 0.500 0.500 0.337
Pm4 Pm 0.500 0.500 0.663
Mg1 Mg 0.000 0.000 0.500
Zn1 Zn 0.500 0.500 0.000

=====

Entry 4:
# BeTc2HI, relaxed, DFT GGA-PBE
# Space-group type: P4/mmm (123)
# Raw total energy (eV per atom): -4.15
# DOS at the Fermi energy (states/eV/cell): 6.519
# Magnetic moment (μB/cell): 1.42
data_BeTc2HI
_chemical_formula_sum 'Be1 Tc2 H1 I1'
_cell_length_a 4.205
_cell_length_b 4.205
_cell_length_c 4.702
_cell_angle_alpha 90.00
_cell_angle_beta 90.00
_cell_angle_gamma 90.00
_space_group_name_H-M_alt 'P 1'
_space_group_IT_number 1
_space_group_name_Hall 'P 1'
loop_
_atom_site_label
_atom_site_type_symbol
_atom_site_fract_x
_atom_site_fract_y
_atom_site_fract_z
Be1 Be 0.000 0.000 0.000
Tc1 Tc 0.000 0.500 0.000
Tc2 Tc 0.500 0.000 0.000
H1 H 0.500 0.500 0.500
I1 I 0.000 0.000 0.500